# 1
A crystal of TaSb2Br relaxed with PBEsol. Source: Alexandria via LeMat-Bulk, functional SCAN.

a = 3.5135 Å, b = 8.0908 Å, c = 8.0908 Å
α = 25.93°, β = 90.00°, γ = 90.00°
Atoms (fractional coordinates):
Ta (0.0000, 0.0000, 0.0000)
Sb (0.0000, 0.1929, 0.1929)
Sb (0.5000, 0.5771, 0.5771)
Br (0.5000, 0.8768, 0.8768)

Summary:
E_form (uncorrected): -33 meV per atom
total moment: 0.12 μB per atom

---

# 2
A crystal of TaSb2TeBr relaxed with PBEsol. Source: Alexandria via LeMat-Bulk, functional SCAN.

a = 5.3285 Å, b = 5.3285 Å, c = 5.2023 Å
α = 90.00°, β = 90.00°, γ = 90.00°
Atoms (fractional coordinates):
Ta (0.0000, 0.0000, 0.0000)
Sb (0.0000, 0.5000, 0.0000)
Sb (0.5000, 0.0000, 0.0000)
Te (0.0000, 0.0000, 0.5000)
Br (0.5000, 0.5000, 0.5000)

Summary:
E_form (uncorrected): 182 meV per atom
total moment: 0.00 μB per atom

---

Number 1: total energy -40.17 eV/atom. Number 2: total energy -39.38 eV/atom.